[1]
Below is Be2AlPd5Au2 after structural relaxation, with properties calculated at the PBE-GGA level.

a = 9.2815 Å, b = 9.2815 Å, c = 3.3122 Å
α = 90.00°, β = 90.00°, γ = 90.00°
With the nearest neighbours (Å) after each atom.
Positions (direct):
Be (0.1267, 0.3733, 0.0000)  6 Pd 2.34-2.35, 1 Au 2.59
Be (0.3733, 0.8733, 0.0000)  6 Pd 2.34-2.35, 1 Au 2.59
Be (0.6267, 0.1267, 0.0000)  6 Pd 2.34-2.35, 1 Au 2.59
Be (0.8733, 0.6267, 0.0000)  6 Pd 2.34-2.35, 1 Au 2.59
Al (0.0000, 0.0000, 0.0000)  8 Pd 2.60
Al (0.5000, 0.5000, 0.0000)  8 Pd 2.60
Pd (0.0000, 0.5000, 0.5000)  4 Be 2.35
Pd (0.0683, 0.2048, 0.5000)  2 Be 2.34, 2 Al 2.60
Pd (0.2048, 0.9317, 0.5000)  2 Be 2.34, 2 Al 2.60
Pd (0.2952, 0.4317, 0.5000)  2 Be 2.34, 2 Al 2.60
Pd (0.4317, 0.7048, 0.5000)  2 Be 2.34, 2 Al 2.60
Pd (0.5000, 0.0000, 0.5000)  4 Be 2.35
Pd (0.5683, 0.2952, 0.5000)  2 Be 2.34, 2 Al 2.60
Pd (0.7048, 0.5683, 0.5000)  2 Be 2.34, 2 Al 2.60
Pd (0.7952, 0.0683, 0.5000)  2 Be 2.34, 2 Al 2.60
Pd (0.9317, 0.7952, 0.5000)  2 Be 2.34, 2 Al 2.60
Au (0.1757, 0.6757, 0.0000)  3 Be 2.59-2.84, 2 Pd 2.84
Au (0.3243, 0.1757, 0.0000)  3 Be 2.59-2.84, 2 Pd 2.84
Au (0.6757, 0.8243, 0.0000)  3 Be 2.59-2.84, 2 Pd 2.84
Au (0.8243, 0.3243, 0.0000)  3 Be 2.59-2.84, 2 Pd 2.84

Values from the calculation:
The energy of formation is -0.4596 eV per atom.



[2]
Below is MgMo2Pb after structural relaxation, with properties calculated at the PBE-GGA level.

a = 4.6745 Å, b = 4.6745 Å, c = 6.5930 Å
α = 90.00°, β = 90.00°, γ = 90.00°
With the nearest neighbours (Å) after each atom.
Positions (direct):
Mg (0.0000, 0.0000, 0.0000)  4 Mo 2.86, 4 Pb 2.86
Mg (0.5000, 0.5000, 0.5000)  4 Pb 2.86, 4 Mo 2.86
Mo (0.0000, 0.0000, 0.5000)  4 Pb 2.86, 4 Mo 2.86
Mo (0.0000, 0.5000, 0.2500)  4 Mo 2.86, 4 Mg 2.86
Mo (0.5000, 0.0000, 0.7500)  4 Mo 2.86, 4 Mg 2.86
Mo (0.5000, 0.5000, 0.0000)  4 Pb 2.86, 4 Mo 2.86
Pb (0.0000, 0.5000, 0.7500)  4 Mo 2.86, 4 Mg 2.86
Pb (0.5000, 0.0000, 0.2500)  4 Mo 2.86, 4 Mg 2.86

Values from the calculation:
The energy of formation is 0.4849 eV per atom.



[3]
Below is Mg3Zr after structural relaxation, with properties calculated at the PBE-GGA level.

a = 5.6742 Å, b = 5.6742 Å, c = 5.6742 Å
α = 90.00°, β = 90.00°, γ = 90.00°
With the nearest neighbours (Å) after each atom.
Positions (direct):
Mg (0.0000, 0.2500, 0.5000)  2 Mg 2.84, 4 Zr 3.17
Mg (0.0000, 0.7500, 0.5000)  2 Mg 2.84, 4 Zr 3.17
Mg (0.2500, 0.5000, 0.0000)  2 Mg 2.84, 4 Zr 3.17
Mg (0.5000, 0.0000, 0.2500)  2 Mg 2.84, 4 Zr 3.17
Mg (0.5000, 0.0000, 0.7500)  2 Mg 2.84, 4 Zr 3.17
Mg (0.7500, 0.5000, 0.0000)  2 Mg 2.84, 4 Zr 3.17
Zr (0.0000, 0.0000, 0.0000)  12 Mg 3.17
Zr (0.5000, 0.5000, 0.5000)  12 Mg 3.17

Values from the calculation:
The energy of formation is 0.2581 eV per atom.



[4]
Below is Fe2PbBr after structural relaxation, with properties calculated at the PBE-GGA level.

a = 16.2730 Å, b = 3.3366 Å, c = 3.2988 Å
α = 90.00°, β = 92.59°, γ = 90.00°
With the nearest neighbours (Å) after each atom.
Positions (direct):
Fe (0.0000, 0.0000, 0.0000)  4 Fe 2.50-2.58, 1 Br 2.66
Fe (0.0596, 0.5000, 0.5310)  4 Fe 2.50-2.58, 2 Br 2.55
Fe (0.5000, 0.5000, 0.0000)  4 Fe 2.50-2.58, 1 Br 2.66
Fe (0.5596, 0.0000, 0.5310)  4 Fe 2.50-2.58, 2 Br 2.55
Pb (0.3803, 0.0000, 0.4729)  5 Fe 2.92-3.05
Pb (0.8803, 0.5000, 0.4729)  5 Fe 2.92-3.05
Br (0.1600, 0.0000, 0.8640)  3 Fe 2.55-2.66
Br (0.6600, 0.5000, 0.8640)  3 Fe 2.55-2.66

Values from the calculation:
The energy relative to the elements, uncorrected is 0.20 eV per atom.



[5]
Below is NdSm6Te8 after structural relaxation, with properties calculated at the PBE-GGA level.

a = 8.8590 Å, b = 8.8590 Å, c = 8.8590 Å
α = 60.00°, β = 60.00°, γ = 60.00°
With the nearest neighbours (Å) after each atom.
Positions (direct):
Nd (0.0000, 0.0000, 0.0000)  6 Te 3.23
Sm (0.0000, 0.0000, 0.5000)  6 Te 3.13
Sm (0.0000, 0.5000, 0.0000)  6 Te 3.13
Sm (0.0000, 0.5000, 0.5000)  6 Te 3.13
Sm (0.5000, 0.0000, 0.0000)  6 Te 3.13
Sm (0.5000, 0.0000, 0.5000)  6 Te 3.13
Sm (0.5000, 0.5000, 0.0000)  6 Te 3.13
Te (0.2500, 0.2500, 0.2500)  6 Sm 3.13
Te (0.2579, 0.2579, 0.7421)  4 Sm 3.13, 1 Nd 3.23
Te (0.2579, 0.7421, 0.2579)  4 Sm 3.13, 1 Nd 3.23
Te (0.2579, 0.7421, 0.7421)  4 Sm 3.13, 1 Nd 3.23
Te (0.7421, 0.2579, 0.2579)  4 Sm 3.13, 1 Nd 3.23
Te (0.7421, 0.2579, 0.7421)  4 Sm 3.13, 1 Nd 3.23
Te (0.7421, 0.7421, 0.2579)  4 Sm 3.13, 1 Nd 3.23
Te (0.7500, 0.7500, 0.7500)  6 Sm 3.13

Values from the calculation:
The energy relative to the elements, uncorrected is -1.44 eV per atom.



[6]
Below is Ba2Sn7Hg after structural relaxation, with properties calculated at the PBE-GGA level.

a = 5.5251 Å, b = 5.5251 Å, c = 10.8072 Å
α = 90.00°, β = 90.00°, γ = 90.00°
With the nearest neighbours (Å) after each atom.
Positions (direct):
Ba (0.0000, 0.5000, 0.2442)  2 Hg 3.82, 16 Sn 3.82-4.19
Ba (0.5000, 0.0000, 0.7558)  2 Hg 3.82, 16 Sn 3.82-4.19
Sn (0.0000, 0.0000, 0.0000)  4 Sn 3.02
Sn (0.0000, 0.0000, 0.5000)  4 Sn 3.03
Sn (0.0000, 0.5000, 0.6162)  5 Sn 2.94-3.03
Sn (0.0000, 0.5000, 0.8880)  3 Sn 2.94-3.02, 2 Hg 3.02
Sn (0.5000, 0.0000, 0.1120)  3 Sn 2.94-3.02, 2 Hg 3.02
Sn (0.5000, 0.0000, 0.3838)  5 Sn 2.94-3.03
Sn (0.5000, 0.5000, 0.5000)  4 Sn 3.03
Hg (0.5000, 0.5000, 0.0000)  4 Sn 3.02

Values from the calculation:
The energy of formation is -0.3263 eV per atom.



[7]
Below is Nd2Sm3Tm4 after structural relaxation, with properties calculated at the PBE-GGA level.

a = 10.1021 Å, b = 10.1021 Å, c = 6.0974 Å
α = 95.84°, β = 95.84°, γ = 70.47°
With the nearest neighbours (Å) after each atom.
Positions (direct):
Nd (0.0123, 0.7695, 0.7190)  4 Sm 3.33-3.57, 3 Tm 3.42-3.50, 1 Nd 3.57
Nd (0.2305, 0.9877, 0.7810)  4 Sm 3.33-3.57, 3 Tm 3.42-3.50, 1 Nd 3.57
Nd (0.7695, 0.0123, 0.2190)  4 Sm 3.33-3.57, 3 Tm 3.42-3.50, 1 Nd 3.57
Nd (0.9877, 0.2305, 0.2810)  4 Sm 3.33-3.57, 3 Tm 3.42-3.50, 1 Nd 3.57
Sm (0.1421, 0.8579, 0.2500)  4 Tm 3.46-3.84, 6 Nd 3.51-3.57, 2 Sm 3.85
Sm (0.1893, 0.4856, 0.4106)  1 Nd 3.33, 8 Tm 3.38-3.68
Sm (0.4856, 0.1893, 0.9106)  1 Nd 3.33, 8 Tm 3.38-3.68
Sm (0.5144, 0.8107, 0.0894)  1 Nd 3.33, 8 Tm 3.38-3.68
Sm (0.8107, 0.5144, 0.5894)  1 Nd 3.33, 8 Tm 3.38-3.68
Sm (0.8579, 0.1421, 0.7500)  4 Tm 3.46-3.84, 6 Nd 3.51-3.57, 2 Sm 3.85
Tm (0.1200, 0.3464, 0.8653)  4 Sm 3.38-3.57, 2 Tm 3.40-3.60, 2 Nd 3.42-3.45
Tm (0.3297, 0.5516, 0.9585)  3 Tm 3.25-3.40, 4 Sm 3.44-3.58, 1 Nd 3.50
Tm (0.3464, 0.1200, 0.3653)  4 Sm 3.38-3.57, 2 Tm 3.40-3.60, 2 Nd 3.42-3.45
Tm (0.4484, 0.6703, 0.5415)  3 Tm 3.25-3.40, 4 Sm 3.44-3.58, 1 Nd 3.50
Tm (0.5516, 0.3297, 0.4585)  3 Tm 3.25-3.40, 4 Sm 3.44-3.58, 1 Nd 3.50
Tm (0.6536, 0.8800, 0.6347)  4 Sm 3.38-3.57, 2 Tm 3.40-3.60, 2 Nd 3.42-3.45
Tm (0.6703, 0.4484, 0.0415)  3 Tm 3.25-3.40, 4 Sm 3.44-3.58, 1 Nd 3.50
Tm (0.8800, 0.6536, 0.1347)  4 Sm 3.38-3.57, 2 Tm 3.40-3.60, 2 Nd 3.42-3.45

Values from the calculation:
The energy of formation is 0.0976 eV per atom.



[8]
Below is Nd3RhPb2 after structural relaxation, with properties calculated at the PBE-GGA level.

a = 12.9126 Å, b = 4.5036 Å, c = 12.1487 Å
α = 90.00°, β = 90.00°, γ = 90.00°
With the nearest neighbours (Å) after each atom.
Positions (direct):
Nd (0.0518, 0.2500, 0.1315)  1 Rh 3.03, 4 Pb 3.19-3.26
Nd (0.1207, 0.7500, 0.5429)  3 Rh 3.10-3.40, 5 Pb 3.26-3.40
Nd (0.2426, 0.2500, 0.7909)  2 Rh 2.95
Nd (0.2574, 0.7500, 0.2909)  2 Rh 2.95
Nd (0.3793, 0.2500, 0.0429)  3 Rh 3.10-3.40, 5 Pb 3.26-3.40
Nd (0.4482, 0.7500, 0.6315)  1 Rh 3.03, 4 Pb 3.19-3.26
Nd (0.5518, 0.2500, 0.3685)  1 Rh 3.03, 4 Pb 3.19-3.26
Nd (0.6207, 0.7500, 0.9571)  3 Rh 3.10-3.40, 5 Pb 3.26-3.40
Nd (0.7426, 0.2500, 0.7091)  2 Rh 2.95
Nd (0.7574, 0.7500, 0.2091)  2 Rh 2.95
Nd (0.8793, 0.2500, 0.4571)  3 Rh 3.10-3.40, 5 Pb 3.26-3.40
Nd (0.9482, 0.7500, 0.8685)  1 Rh 3.03, 4 Pb 3.19-3.26
Rh (0.1288, 0.2500, 0.3673)  3 Pb 2.88-2.92, 5 Nd 2.95-3.10
Rh (0.3712, 0.7500, 0.8673)  3 Pb 2.88-2.92, 5 Nd 2.95-3.10
Rh (0.6288, 0.2500, 0.1327)  3 Pb 2.88-2.92, 5 Nd 2.95-3.10
Rh (0.8712, 0.7500, 0.6327)  3 Pb 2.88-2.92, 5 Nd 2.95-3.10
Pb (0.0037, 0.2500, 0.6919)  2 Rh 2.92, 4 Nd 3.19-3.26
Pb (0.1863, 0.7500, 0.9995)  1 Rh 2.88
Pb (0.3137, 0.2500, 0.4995)  1 Rh 2.88
Pb (0.4963, 0.7500, 0.1919)  2 Rh 2.92, 4 Nd 3.19-3.26
Pb (0.5037, 0.2500, 0.8081)  2 Rh 2.92, 4 Nd 3.19-3.26
Pb (0.6863, 0.7500, 0.5005)  1 Rh 2.88
Pb (0.8137, 0.2500, 0.0005)  1 Rh 2.88
Pb (0.9963, 0.7500, 0.3081)  2 Rh 2.92, 4 Nd 3.19-3.26

Values from the calculation:
The energy of formation is -0.6204 eV per atom.



Number 1: E_tot -4.831 eV per atom, total magnetization 0.0 μB per formula unit. Number 2: E_tot -6.256 eV per atom, total magnetization 0.0 μB per formula unit. Number 3: E_tot -3.075 eV per atom, total magnetization 0.7 μB per formula unit. Number 4: E_tot -5.382 eV per atom, total magnetization 6.0 μB per formula unit. Number 5: E_tot -5.319 eV per atom, total magnetization 0.0 μB per formula unit. Number 6: E_tot -3.543 eV per atom, total magnetization 0.0 μB per formula unit. Number 7: E_tot -4.522 eV per atom, total magnetization 0.0 μB per formula unit. Number 8: E_tot -5.466 eV per atom, total magnetization 0.0 μB per formula unit.